1.
DFT (GGA-PBE) results for a geometry-optimized Pr5NdTl3 structure.

Calculated values
Energy of formation (eV/atom): -0.2677

Cell lengths 16.8491, 9.7284, 7.0009 Å; angles 90.00, 90.00, 90.00 degrees
Last column: nearest neighbours and their distance in Å.
Space group Cmcm (No. 63)
Symmetry-distinct sites (fractional):
Pr1 0.0000 0.1654 0.2500 x4  5 Tl 3.24-3.50
Pr2 0.1671 0.0000 0.0000 x8  8 Pr 3.50-3.68, 6 Tl 3.69-3.70
Pr3 0.1671 0.3327 0.7500 x8  5 Tl 3.24-3.50
Nd1 0.0000 0.5000 0.0000 x4  2 Nd 3.50, 6 Tl 3.67, 6 Pr 3.69-3.70
Tl1 0.0000 0.1684 0.7500 x4  5 Pr 3.24-3.50
Tl2 0.1657 0.3342 0.2500 x8  5 Pr 3.24-3.50

---

2.
DFT (GGA-PBE) results for a geometry-optimized MgPdRh2N structure.

Calculated values
ΔE_f (raw) (meV/atom): -150
Energy above the most stable polymorph in this dataset (meV per atom): 0

Cell lengths 4.0274, 4.0274, 4.3051 Å; angles 90.00, 90.00, 90.00 degrees
Last column: nearest neighbours and their distance in Å.
Space group P4/mmm (No. 123)
Symmetry-distinct sites (fractional):
Mg1 0.0000 0.0000 0.0000 x1  4 Pd 2.85, 8 Rh 2.95
Pd1 0.5000 0.5000 0.0000 x1  2 N 2.15
Rh1 0.0000 0.5000 0.5000 x2  2 N 2.01
N1 0.5000 0.5000 0.5000 x1  4 Rh 2.01, 2 Pd 2.15

---

3.
DFT (GGA-PBE) results for a geometry-optimized LuHfIrOs structure.

Calculated values
Energy of formation (eV/atom): -0.7445

Cell lengths 6.5984, 6.5984, 6.5984 Å; angles 90.00, 90.00, 90.00 degrees
Last column: nearest neighbours and their distance in Å.
Space group F-43m (No. 216)
Symmetry-distinct sites (fractional):
Lu1 0.0000 0.0000 0.0000 x4  4 Os 2.86, 4 Ir 2.86
Hf1 0.0000 0.0000 0.5000 x4  4 Ir 2.86, 4 Os 2.86
Ir1 0.2500 0.2500 0.7500 x4  4 Hf 2.86, 4 Lu 2.86
Os1 0.2500 0.2500 0.2500 x4  4 Hf 2.86, 4 Lu 2.86

---

4.
DFT (GGA-PBE) results for a geometry-optimized PmTmZnGe structure.

Calculated values
Energy above the most stable polymorph in this dataset (meV per atom): 83
Energy of formation (eV/atom): -0.5123

Cell lengths 7.1486, 7.1486, 7.1486 Å; angles 90.00, 90.00, 90.00 degrees
Last column: nearest neighbours and their distance in Å.
Space group F-43m (No. 216)
Symmetry-distinct sites (fractional):
Pm1 0.0000 0.0000 0.0000 x4  4 Zn 3.10, 4 Ge 3.10
Tm1 0.0000 0.0000 0.5000 x4  4 Ge 3.10, 4 Zn 3.10
Zn1 0.2500 0.2500 0.7500 x4  4 Pm 3.10, 4 Tm 3.10
Ge1 0.2500 0.2500 0.2500 x4  4 Pm 3.10, 4 Tm 3.10

---

5.
DFT (GGA-PBE) results for a geometry-optimized Rb2NpSe3 structure.

Calculated values
ΔE_f (raw) (meV/atom): -1212

Cell lengths 7.6902, 13.3053, 8.4058 Å; angles 90.00, 108.20, 90.00 degrees
Last column: nearest neighbours and their distance in Å.
Space group C2/m (No. 12)
Symmetry-distinct sites (fractional):
Rb1 0.0000 0.0000 0.0000 x2  6 Se 3.33-3.35
Rb2 0.0000 0.1534 0.5000 x4  6 Se 3.33-3.72
Rb3 0.0000 0.5000 0.5000 x2  6 Se 3.29-3.66
Np1 0.0000 0.3323 0.0000 x4  6 Se 2.87
Se1 0.1852 0.5000 0.1965 x4  2 Np 2.87
Se2 0.2395 0.3082 0.8003 x8  2 Np 2.87

---

6.
DFT (GGA-PBE) results for a geometry-optimized Er6Mg3Tl structure.

Calculated values
Energy of formation (eV/atom): 0.0198

Cell lengths 12.3856, 3.4571, 14.2682 Å; angles 90.00, 111.90, 90.00 degrees
Last column: nearest neighbours and their distance in Å.
Space group P2_1/m (No. 11)
Symmetry-distinct sites (fractional):
Er1 0.0489 0.2500 0.4090 x2  8 Er 3.38-3.68, 3 Mg 3.44-3.45, 2 Tl 3.65
Er2 0.1275 0.7500 0.9829 x2  3 Tl 3.29-3.33, 2 Mg 3.40, 4 Er 3.46-3.53
Er3 0.1608 0.2500 0.7800 x2  1 Tl 3.13, 3 Mg 3.28-3.35, 5 Er 3.39-3.46
Er4 0.2823 0.7500 0.4064 x2  4 Mg 3.11-3.29, 1 Tl 3.13, 6 Er 3.38-3.46
Er5 0.3205 0.2500 0.2143 x2  3 Mg 3.30-3.47, 2 Tl 3.37, 6 Er 3.42-3.49
Er6 0.4447 0.2500 0.8075 x2  6 Mg 3.16-3.46, 5 Er 3.39-3.49
Mg1 0.2375 0.7500 0.6134 x2  8 Er 3.20-3.46, 4 Mg 3.42-3.46
Mg2 0.3721 0.2500 0.0034 x2  7 Er 3.24-3.40, 2 Mg 3.46
Mg3 0.4667 0.2500 0.5941 x2  6 Er 3.11-3.47, 4 Mg 3.42-3.46
Tl1 0.0792 0.7500 0.1945 x2  7 Er 3.13-3.37, 2 Tl 3.46